No. 1
This record from the Alexandria database describes a relaxed structure of Pm2GdHo. The functional is PBE.

abc: 5.099 5.099 5.076
angles: 90.00 90.00 90.00
Space group P4/mmm (No. 123)
Asymmetric unit:
Pm: 0.000 0.500 0.000 (multiplicity 2)
Gd: 0.000 0.000 0.500 (multiplicity 1)
Ho: 0.500 0.500 0.500 (multiplicity 1)

Values from the calculation:
Final energy, eV/atom: -7.026
Magnetization, μB/cell: 7.2
Calculated density, g cm⁻³: 7.70
ΔE_f, eV per atom: 0.014
Offset from the most stable computed form, meV/atom: 0

No. 2
This record from the Alexandria database describes a relaxed structure of Pm2GdHo. The functional is PBE.

abc: 8.110 8.110 8.110
angles: 90.00 90.00 90.00
Space group Fm-3m (No. 225)
Asymmetric unit:
Pm: 0.250 0.250 0.250 (multiplicity 8)
Gd: 0.000 0.000 0.000 (multiplicity 4)
Ho: 0.000 0.000 0.500 (multiplicity 4)

Values from the calculation:
Final energy, eV/atom: -6.925
Magnetization, μB/cell: 33.8
Calculated density, g cm⁻³: 7.62
ΔE_f, eV per atom: 0.115
Offset from the most stable computed form, meV/atom: 101

No. 3
This record from the Alexandria database describes a relaxed structure of PmPrGdHo. The functional is PBE.

abc: 8.144 8.144 8.144
angles: 90.00 90.00 90.00
Space group F-43m (No. 216)
Asymmetric unit:
Pm: 0.000 0.000 0.000 (multiplicity 4)
Pr: 0.000 0.000 0.500 (multiplicity 4)
Gd: 0.250 0.250 0.750 (multiplicity 4)
Ho: 0.250 0.250 0.250 (multiplicity 4)

Values from the calculation:
Final energy, eV/atom: -6.937
Magnetization, μB/cell: 32.6
Calculated density, g cm⁻³: 7.48
ΔE_f, eV per atom: 0.110
Offset from the most stable computed form, meV/atom: 0

No. 4
This record from the Alexandria database describes a relaxed structure of PmGdHoSc. The functional is PBE.

abc: 7.877 7.877 7.877
angles: 90.00 90.00 90.00
Space group F-43m (No. 216)
Asymmetric unit:
Pm: 0.000 0.000 0.000 (multiplicity 4)
Gd: 0.000 0.000 0.500 (multiplicity 4)
Ho: 0.250 0.250 0.750 (multiplicity 4)
Sc: 0.250 0.250 0.250 (multiplicity 4)

Values from the calculation:
Final energy, eV/atom: -7.334
Magnetization, μB/cell: 29.6
Calculated density, g cm⁻³: 6.96
ΔE_f, eV per atom: 0.101

No. 5
This record from the Alexandria database describes a relaxed structure of PmSmGdHo. The functional is PBE.

abc: 8.102 8.102 8.102
angles: 90.00 90.00 90.00
Space group F-43m (No. 216)
Asymmetric unit:
Pm: 0.000 0.000 0.000 (multiplicity 4)
Sm: 0.250 0.250 0.250 (multiplicity 4)
Gd: 0.250 0.250 0.750 (multiplicity 4)
Ho: 0.000 0.000 0.500 (multiplicity 4)

Values from the calculation:
Final energy, eV/atom: -6.910
Magnetization, μB/cell: 36.1
Calculated density, g cm⁻³: 7.71
ΔE_f, eV per atom: 0.122

No. 6
This record from the Alexandria database describes a relaxed structure of PmGdHoTl. The functional is PBE.

abc: 7.790 7.790 7.790
angles: 90.00 90.00 90.00
Space group F-43m (No. 216)
Asymmetric unit:
Pm: 0.000 0.000 0.000 (multiplicity 4)
Gd: 0.250 0.250 0.250 (multiplicity 4)
Ho: 0.250 0.250 0.750 (multiplicity 4)
Tl: 0.000 0.000 0.500 (multiplicity 4)

Values from the calculation:
Final energy, eV/atom: -6.476
Magnetization, μB/cell: 35.1
Calculated density, g cm⁻³: 9.44
ΔE_f, eV per atom: -0.032

No. 7
This record from the Alexandria database describes a relaxed structure of PmGdHoTm. The functional is PBE.

abc: 8.022 8.022 8.022
angles: 90.00 90.00 90.00
Space group F-43m (No. 216)
Asymmetric unit:
Pm: 0.000 0.000 0.000 (multiplicity 4)
Gd: 0.000 0.000 0.500 (multiplicity 4)
Ho: 0.250 0.250 0.250 (multiplicity 4)
Tm: 0.250 0.250 0.750 (multiplicity 4)

Values from the calculation:
Final energy, eV/atom: -6.863
Magnetization, μB/cell: 31.0
Calculated density, g cm⁻³: 8.18
ΔE_f, eV per atom: 0.107

No. 8
This record from the Alexandria database describes a relaxed structure of PmGdYHo. The functional is PBE.

abc: 8.072 8.072 8.072
angles: 90.00 90.00 90.00
Space group F-43m (No. 216)
Asymmetric unit:
Pm: 0.000 0.000 0.000 (multiplicity 4)
Gd: 0.000 0.000 0.500 (multiplicity 4)
Y: 0.250 0.250 0.250 (multiplicity 4)
Ho: 0.250 0.250 0.750 (multiplicity 4)

Values from the calculation:
Final energy, eV/atom: -7.358
Magnetization, μB/cell: 32.0
Calculated density, g cm⁻³: 7.02
ΔE_f, eV per atom: 0.110

No. 9
This record from the Alexandria database describes a relaxed structure of PmGdHoZn. The functional is PBE.

abc: 7.613 7.613 7.613
angles: 90.00 90.00 90.00
Space group F-43m (No. 216)
Asymmetric unit:
Pm: 0.000 0.000 0.000 (multiplicity 4)
Gd: 0.000 0.000 0.500 (multiplicity 4)
Ho: 0.250 0.250 0.250 (multiplicity 4)
Zn: 0.250 0.250 0.750 (multiplicity 4)

Values from the calculation:
Final energy, eV/atom: -6.144
Magnetization, μB/cell: 30.7
Calculated density, g cm⁻³: 8.02
ΔE_f, eV per atom: 0.026

No. 10
This record from the Alexandria database describes a relaxed structure of PrGdHo2. The functional is PBE.

abc: 8.077 8.077 8.077
angles: 90.00 90.00 90.00
Space group Fm-3m (No. 225)
Asymmetric unit:
Pr: 0.000 0.000 0.000 (multiplicity 4)
Gd: 0.000 0.000 0.500 (multiplicity 4)
Ho: 0.250 0.250 0.250 (multiplicity 8)

Values from the calculation:
Final energy, eV/atom: -6.896
Magnetization, μB/cell: 31.0
Calculated density, g cm⁻³: 7.92
ΔE_f, eV per atom: 0.108
Offset from the most stable computed form, meV/atom: 90

No. 11
This record from the Alexandria database describes a relaxed structure of PrGdHo2. The functional is PBE.

abc: 3.5906 3.5906 34.9702
angles: 90.00 90.00 120.00
Space group R-3m (No. 166, hexagonal axes)
Asymmetric unit:
Pr: 0.0000 0.0000 0.0000 (multiplicity 3)
Gd: 0.0000 0.0000 0.5000 (multiplicity 3)
Ho: 0.0000 0.0000 0.2492 (multiplicity 6)

Values from the calculation:
Final energy, eV/atom: -6.981
Magnetization, μB/cell: 22.0
Calculated density, g cm⁻³: 8.01
ΔE_f, eV per atom: 0.023
Offset from the most stable computed form, meV/atom: 5

No. 12
This record from the Alexandria database describes a relaxed structure of PrGd4Ho. The functional is PBE.

abc: 9.357 9.357 9.357
angles: 90.00 90.00 90.00
Space group F-43m (No. 216)
Asymmetric unit:
Pr: 0.000 0.000 0.000 (multiplicity 4)
Gd: 0.125 0.125 0.375 (multiplicity 16)
Ho: 0.250 0.250 0.750 (multiplicity 4)

Values from the calculation:
Final energy, eV/atom: -10.692
Magnetization, μB/cell: 114.7
Calculated density, g cm⁻³: 7.58
ΔE_f, eV per atom: 0.255

No. 13
This record from the Alexandria database describes a relaxed structure of Pr2GdHo. The functional is PBE.

abc: 3.655 3.655 10.175
angles: 90.00 90.00 90.00
Space group P4/mmm (No. 123)
Asymmetric unit:
Pr: 0.000 0.000 0.247 (multiplicity 2)
Gd: 0.500 0.500 0.500 (multiplicity 1)
Ho: 0.500 0.500 0.000 (multiplicity 1)

Values from the calculation:
Final energy, eV/atom: -7.039
Magnetization, μB/cell: 7.3
Calculated density, g cm⁻³: 7.38
ΔE_f, eV per atom: 0.016
Offset from the most stable computed form, meV/atom: 3

No. 14
This record from the Alexandria database describes a relaxed structure of PrGdHo2. The functional is PBE.

abc: 3.599 3.599 10.085
angles: 90.00 90.00 90.00
Space group P4/mmm (No. 123)
Asymmetric unit:
Pr: 0.000 0.000 0.000 (multiplicity 1)
Gd: 0.000 0.000 0.500 (multiplicity 1)
Ho: 0.500 0.500 0.254 (multiplicity 2)

Values from the calculation:
Final energy, eV/atom: -6.976
Magnetization, μB/cell: 7.3
Calculated density, g cm⁻³: 7.98
ΔE_f, eV per atom: 0.028
Offset from the most stable computed form, meV/atom: 10

No. 15
This record from the Alexandria database describes a relaxed structure of Pr2GdHo. The functional is PBE.

abc: 5.162 5.162 5.089
angles: 90.00 90.00 90.00
Space group P4/mmm (No. 123)
Asymmetric unit:
Pr: 0.000 0.500 0.000 (multiplicity 2)
Gd: 0.000 0.000 0.500 (multiplicity 1)
Ho: 0.500 0.500 0.500 (multiplicity 1)

Values from the calculation:
Final energy, eV/atom: -7.042
Magnetization, μB/cell: 7.3
Calculated density, g cm⁻³: 7.40
ΔE_f, eV per atom: 0.013
Offset from the most stable computed form, meV/atom: 0